Record 1
Here is an optimized crystal structure of Pm6Dy2Ho3 from Alexandria via LeMat-Bulk. Energies are from PBE.

Computed properties:
Energy of formation from the pure elements (eV/atom): 0.294
ΔE to the lowest computed polymorph (meV/atom): 178.7
Crystal system: tetragonal
Volume (Å³/atom): 34.696
Density of states at the Fermi level (states/eV/cell): 15.88
Energy (eV per atom): -4.3820
M_tot (Bohr magnetons per cell): 0.00

The structure in POSCAR format:
```
Pm6Dy2Ho3
1.0
-2.383 2.383 16.799
2.383 -2.383 16.799
2.383 2.383 -16.799
Pm Dy Ho
6 2 3
Direct
0.120 0.620 0.500
0.200 0.200 0.000
0.380 0.880 0.500
0.620 0.120 0.500
0.800 0.800 0.000
0.880 0.380 0.500
0.045 0.045 0.000
0.955 0.955 0.000
0.302 0.302 0.000
0.500 0.500 0.000
0.698 0.698 0.000
```



Record 2
Here is an optimized crystal structure of Pm5DyHo5 from Alexandria via LeMat-Bulk. Energies are from PBE.

Computed properties:
Energy of formation from the pure elements (eV/atom): 0.343
Crystal system: hexagonal
Volume (Å³/atom): 33.820
Density of states at the Fermi level (states/eV/cell): 18.57
Energy (eV per atom): -4.3153
M_tot (Bohr magnetons per cell): 0.00

The structure in POSCAR format:
```
Pm5DyHo5
1.0
6.120 0.000 0.000
-3.060 5.300 0.000
0.000 0.000 11.471
Pm Dy Ho
5 1 5
Direct
0.000 0.000 0.238
0.000 0.000 0.762
0.340 0.170 0.000
0.830 0.170 0.000
0.830 0.660 0.000
0.333 0.667 0.500
0.000 0.000 0.500
0.333 0.667 0.181
0.333 0.667 0.819
0.667 0.333 0.342
0.667 0.333 0.658
```



Record 3
Here is an optimized crystal structure of Pm4Dy2Ho5 from Alexandria via LeMat-Bulk. Energies are from PBE.

Computed properties:
Energy of formation from the pure elements (eV/atom): 0.152
ΔE to the lowest computed polymorph (meV/atom): 45.4
Crystal system: monoclinic
Volume (Å³/atom): 32.760
Density of states at the Fermi level (states/eV/cell): 20.32
Energy (eV per atom): -4.4926
M_tot (Bohr magnetons per cell): 0.00

The structure in POSCAR format:
```
Pm4Dy2Ho5
1.0
11.966 -1.731 0.000
11.966 1.731 0.000
-1.034 0.000 8.700
Pm Dy Ho
4 2 5
Direct
0.091 0.091 0.241
0.323 0.323 0.030
0.677 0.677 0.970
0.909 0.909 0.759
0.046 0.046 0.858
0.954 0.954 0.142
0.141 0.141 0.617
0.233 0.233 0.328
0.500 0.500 0.500
0.767 0.767 0.672
0.859 0.859 0.383
```



Record 4
Here is an optimized crystal structure of Pm5Dy2Ho12 from Alexandria via LeMat-Bulk. Energies are from PBE.

Computed properties:
Energy of formation from the pure elements (eV/atom): 0.019
ΔE to the lowest computed polymorph (meV/atom): 0.0
Crystal system: triclinic
Volume (Å³/atom): 31.843
Density of states at the Fermi level (states/eV/cell): 25.96
Energy (eV per atom): -4.6069
M_tot (Bohr magnetons per cell): 0.00

The structure in POSCAR format:
```
Pm5Dy2Ho12
1.0
7.950 0.000 0.000
-3.159 8.112 0.000
-0.792 -0.314 9.381
Pm Dy Ho
5 2 12
Direct
0.000 0.000 0.000
0.159 0.052 0.368
0.262 0.421 0.948
0.738 0.579 0.052
0.841 0.948 0.632
0.421 0.474 0.317
0.579 0.526 0.683
0.053 0.684 0.787
0.105 0.369 0.579
0.212 0.737 0.159
0.319 0.106 0.736
0.368 0.789 0.527
0.476 0.158 0.106
0.524 0.842 0.894
0.632 0.211 0.473
0.681 0.894 0.264
0.788 0.263 0.841
0.895 0.631 0.421
0.947 0.316 0.213
```



Record 5
Here is an optimized crystal structure of Pm2Dy2Ho15 from Alexandria via LeMat-Bulk. Energies are from PBE.

Computed properties:
Energy of formation from the pure elements (eV/atom): 0.296
Crystal system: trigonal
Volume (Å³/atom): 32.985
Density of states at the Fermi level (states/eV/cell): 33.65
Energy (eV per atom): -4.3022
M_tot (Bohr magnetons per cell): 0.01

The structure in POSCAR format:
```
Pm2Dy2Ho15
1.0
5.552 3.205 5.870
-5.552 3.205 5.870
0.000 -6.410 5.870
Pm Dy Ho
2 2 15
Direct
0.100 0.100 0.100
0.900 0.900 0.900
0.323 0.323 0.323
0.677 0.677 0.677
0.000 0.000 0.500
0.000 0.302 0.698
0.000 0.500 0.000
0.000 0.698 0.302
0.151 0.628 0.628
0.302 0.000 0.698
0.302 0.698 0.000
0.372 0.372 0.849
0.372 0.849 0.372
0.500 0.000 0.000
0.628 0.151 0.628
0.628 0.628 0.151
0.698 0.000 0.302
0.698 0.302 0.000
0.849 0.372 0.372
```



Record 6
Here is an optimized crystal structure of PmDy7Ho4 from Alexandria via LeMat-Bulk. Energies are from PBE.

Computed properties:
Energy of formation from the pure elements (eV/atom): 0.277
ΔE to the lowest computed polymorph (meV/atom): 278.7
Crystal system: monoclinic
Volume (Å³/atom): 32.618
Density of states at the Fermi level (states/eV/cell): 20.06
Energy (eV per atom): -4.3295
M_tot (Bohr magnetons per cell): 0.00

The structure in POSCAR format:
```
PmDy7Ho4
1.0
6.006 -2.928 0.000
6.006 2.928 0.000
-5.919 0.000 11.131
Pm Dy Ho
1 7 4
Direct
0.000 0.000 0.000
0.060 0.060 0.327
0.211 0.211 0.922
0.366 0.366 0.497
0.500 0.500 0.000
0.634 0.634 0.503
0.789 0.789 0.078
0.940 0.940 0.673
0.248 0.248 0.683
0.366 0.366 0.225
0.634 0.634 0.775
0.752 0.752 0.317
```